First-principles (PBE) data for a relaxed Pm2CdAs crystal, as listed in Alexandria via LeMat-Bulk.

abc: 8.181 8.181 8.181
angles: 29.50 29.50 29.50
Positions (direct):
Pm  0.238  0.238  0.238
Pm  0.762  0.762  0.762
Cd  0.000  0.000  0.000
As  0.500  0.500  0.500

Properties
The calculated total energy is -4.587 eV/atom. As for the mass density: 6.743 g/cm³. The value obtained for the volume is 29.39 Å³/atom. The value obtained for the density of states at the Fermi level is 4.05 states/eV/f.u. As for the symmetry: R-3m, No. 166. For the formation energy, the calculation gives -0.820 eV/atom. The calculation puts the energy relative to the lowest polymorph listed for this composition at 0 meV per atom.

---

First-principles (PBE) data for a relaxed SbS2 crystal, as listed in Alexandria via LeMat-Bulk.

abc: 7.487 7.487 7.487
angles: 120.16 120.16 89.73
Positions (direct):
Sb  0.000  0.000  0.000
Sb  0.000  0.000  0.500
Sb  0.000  0.500  0.000
Sb  0.500  0.000  0.500
S  0.251  0.255  0.504
S  0.251  0.747  0.996
S  0.253  0.749  0.504
S  0.255  0.251  0.004
S  0.745  0.749  0.996
S  0.747  0.251  0.496
S  0.749  0.253  0.004
S  0.749  0.745  0.496

Properties
The calculated total energy is -4.217 eV/atom. As for the mass density: 4.170 g/cm³. The value obtained for the volume is 24.67 Å³/atom. The value obtained for the density of states at the Fermi level is 1.59 states/eV/f.u. As for the symmetry: I4_1/amd, No. 141. As for the uncorrected formation energy: -0.09 eV per atom.

---

First-principles (PBE) data for a relaxed NaLi12Cd3 crystal, as listed in Alexandria via LeMat-Bulk.

abc: 4.478 4.478 15.723
angles: 90.00 90.00 90.00
Positions (direct):
Na  0.000  0.000  0.000
Li  0.000  0.500  0.146
Li  0.000  0.500  0.382
Li  0.000  0.500  0.618
Li  0.000  0.500  0.854
Li  0.500  0.000  0.146
Li  0.500  0.000  0.382
Li  0.500  0.000  0.618
Li  0.500  0.000  0.854
Li  0.500  0.500  0.000
Li  0.500  0.500  0.262
Li  0.500  0.500  0.500
Li  0.500  0.500  0.738
Cd  0.000  0.000  0.264
Cd  0.000  0.000  0.500
Cd  0.000  0.000  0.736

Properties
The calculated total energy is -1.798 eV/atom. As for the mass density: 2.336 g/cm³. The value obtained for the volume is 19.71 Å³/atom. The value obtained for the density of states at the Fermi level is 5.73 states/eV/f.u. As for the symmetry: P4/mmm, No. 123. For the formation energy, the calculation gives -0.109 eV/atom.